A geometry-optimized Na3Zr3FeP6O24 structure. Source: the Alexandria database, functional PBE+U.

Cell: 8.8905 9.1703 15.4594 Å, 73.70 89.93 61.09°
With the nearest neighbours (Å) after each atom.
Fractional coordinates of all 74 atoms:
Na1 0.0000 0.0000 0.0000  6 O 2.36-2.62
Na2 0.0340 0.2889 0.4401  6 O 2.51-2.75
Na3 0.3035 0.7884 0.2038  6 O 2.43-2.71
Na4 0.5201 0.2961 0.9463  5 O 2.43-2.68
Na5 0.5650 0.9637 0.8244  6 O 2.35-2.55
Na6 0.8276 0.7817 0.6700  4 O 2.40-2.59
Zr1 0.0010 0.3498 0.7682  6 O 2.07-2.14
Zr2 0.0678 0.2293 0.1199  6 O 2.03-2.18
Zr3 0.2555 0.8491 0.5166  6 O 2.07-2.15
Zr4 0.5030 0.3569 0.2574  6 O 2.07-2.14
Zr5 0.5685 0.2255 0.6173  6 O 2.05-2.16
Zr6 0.8184 0.7247 0.3663  6 O 2.07-2.14
Fe1 0.3177 0.7199 0.8710  6 O 2.00-2.05
Fe2 0.7576 0.8391 0.0175  6 O 1.93-2.13
P1 0.1941 0.5531 0.0612  4 O 1.53-1.56
P2 0.2658 0.5414 0.4183  4 O 1.54-1.55
P3 0.2736 0.5320 0.7182  4 O 1.53-1.56
P4 0.3069 0.0313 0.6784  4 O 1.53-1.57
P5 0.3129 0.0246 0.9642  4 O 1.54-1.56
P6 0.3680 0.0404 0.3189  4 O 1.54-1.55
P7 0.7078 0.5364 0.5667  4 O 1.54-1.55
P8 0.7572 0.5366 0.9242  4 O 1.53-1.56
P9 0.7628 0.5444 0.2092  4 O 1.53-1.55
P10 0.8031 0.0373 0.1636  4 O 1.54-1.56
P11 0.8073 0.0427 0.4578  4 O 1.54-1.55
P12 0.8791 0.0202 0.8168  4 O 1.52-1.57
O1 0.0175 0.7235 0.0445  1 P 1.54
O2 0.0598 0.8597 0.8326  1 P 1.52
O3 0.0903 0.5468 0.4076  1 P 1.54
O4 0.1060 0.5202 0.7309  1 P 1.55
O5 0.1601 0.2021 0.6906  1 P 1.54
O6 0.1688 0.3904 0.0850  1 P 1.56
O7 0.1889 0.1939 0.8839  1 P 1.56
O8 0.2235 0.6922 0.6315  1 P 1.55
O9 0.2378 0.0466 0.0540  1 P 1.56
O10 0.2404 0.7096 0.4346  1 P 1.54
O11 0.2437 0.0111 0.5919  1 P 1.54
O12 0.2591 0.0482 0.2378  1 P 1.55
O13 0.2761 0.0342 0.4037  1 P 1.54
O14 0.2904 0.5507 0.9788  1 P 1.53
O15 0.3058 0.5347 0.1453  1 P 1.56
O16 0.3093 0.8662 0.9513  1 P 1.54
O17 0.3438 0.5483 0.8030  1 P 1.53
O18 0.3456 0.5290 0.3302  1 P 1.54
O19 0.3654 0.8734 0.7653  1 P 1.53
O20 0.3856 0.2057 0.2944  1 P 1.54
O21 0.3865 0.3793 0.5010  1 P 1.55
O22 0.4162 0.3628 0.7006  1 P 1.56
O23 0.4713 0.0504 0.6626  1 P 1.57
O24 0.4929 0.0107 0.9665  1 P 1.54
O25 0.5241 0.6996 0.5456  1 P 1.54
O26 0.5487 0.8734 0.3381  1 P 1.54
O27 0.5785 0.5502 0.9163  1 P 1.53
O28 0.5924 0.5386 0.2198  1 P 1.55
O29 0.6622 0.2053 0.1816  1 P 1.55
O30 0.6893 0.2056 0.3760  1 P 1.54
O31 0.6942 0.3684 0.5896  1 P 1.55
O32 0.7239 0.7075 0.1300  1 P 1.53
O33 0.7261 0.0520 0.5464  1 P 1.55
O34 0.7386 0.0286 0.0734  1 P 1.55
O35 0.7488 0.6984 0.9412  1 P 1.54
O36 0.7661 0.0351 0.7336  1 P 1.57
O37 0.7800 0.0108 0.8994  1 P 1.56
O38 0.8022 0.5447 0.4830  1 P 1.54
O39 0.8118 0.5316 0.6485  1 P 1.55
O40 0.8317 0.5478 0.3002  1 P 1.55
O41 0.8327 0.5234 0.8339  1 P 1.56
O42 0.8335 0.8739 0.4416  1 P 1.54
O43 0.8446 0.8754 0.2464  1 P 1.54
O44 0.8828 0.3634 0.0021  1 P 1.56
O45 0.8901 0.1902 0.7996  1 P 1.56
O46 0.9025 0.3728 0.1940  1 P 1.55
O47 0.9749 0.0429 0.1522  1 P 1.56
O48 0.9841 0.0333 0.4726  1 P 1.55

Results
- Final energy: -0.557 Ry/atom
- Space-group type: P1 (1)